This record from the Alexandria database describes Cs2CdW at its PBEsol-relaxed geometry. The functional is meta-GGA SCAN.

Cell and atoms, written as POSCAR:
```
Cs2CdW
1.0
0.000 4.366 4.366
4.366 0.000 4.366
4.366 4.366 0.000
Cs Cd W
2 1 1
Direct
0.250 0.250 0.250 Cs
0.750 0.750 0.750 Cs
0.000 0.000 0.000 Cd
0.500 0.500 0.500 W
```

Results
**Symmetry**: No. 225
**V**: 41.61 Å³/atom
**Formation energy from the elements**: 1.620 eV per atom
**Magnetic moment**: 5.2 μB per cell



This record from the Alexandria database describes Ba4Cu3IO12 at its PBEsol-relaxed geometry. The functional is meta-GGA SCAN.

Cell and atoms, written as POSCAR:
```
Ba4Cu3IO12
1.0
-4.010 4.010 4.010
4.010 -4.010 4.010
4.010 4.010 -4.010
Ba Cu I O
4 3 1 12
Direct
0.000 0.000 0.500 Ba
0.000 0.500 0.000 Ba
0.500 0.000 0.000 Ba
0.500 0.500 0.500 Ba
0.000 0.500 0.500 Cu
0.500 0.000 0.500 Cu
0.500 0.500 0.000 Cu
0.000 0.000 0.000 I
0.000 0.238 0.238 O
0.000 0.762 0.762 O
0.238 0.000 0.238 O
0.238 0.238 0.000 O
0.250 0.500 0.750 O
0.250 0.750 0.500 O
0.500 0.250 0.750 O
0.500 0.750 0.250 O
0.750 0.250 0.500 O
0.750 0.500 0.250 O
0.762 0.000 0.762 O
0.762 0.762 0.000 O
```

Results
**E_tot**: -17.359 eV per atom
**Symmetry**: No. 229
**V**: 12.90 Å³/atom
**Magnetic moment**: 0.8 μB per cell



This record from the Alexandria database describes BaZn2 at its PBEsol-relaxed geometry. The functional is meta-GGA SCAN.

Cell and atoms, written as POSCAR:
```
BaZn2
1.0
2.149 -9.204 0.000
2.149 9.204 0.000
0.000 0.000 4.383
Ba Zn
2 4
Direct
0.103 0.897 0.750 Ba
0.897 0.103 0.250 Ba
0.250 0.750 0.250 Zn
0.323 0.677 0.750 Zn
0.677 0.323 0.250 Zn
0.750 0.250 0.750 Zn
```

Results
**Symmetry**: No. 63
**V**: 28.90 Å³/atom
**Formation energy from the elements**: -0.185 eV per atom
**Magnetic moment**: 0.0 μB per cell